(1)
# DyAl2GaCu2

A relaxed DyAl2GaCu2 crystal (PBE, the Alexandria database).

a b c (Å): 4.470 4.470 5.557
angles (deg): 90.00 90.00 90.00
Fractional positions:
Dy 0.000 0.000 0.000
Al 0.500 0.500 0.236
Al 0.500 0.500 0.764
Ga 0.000 0.000 0.500
Cu 0.000 0.500 0.500
Cu 0.500 0.000 0.500

(2)
# Dy2AlGa4Cu3

A relaxed Dy2AlGa4Cu3 crystal (PBE, the Alexandria database).

a b c (Å): 4.084 4.084 10.533
angles (deg): 90.00 90.00 90.00
Fractional positions:
Dy 0.000 0.500 0.244
Dy 0.500 0.000 0.756
Al 0.000 0.000 0.500
Ga 0.000 0.000 0.000
Ga 0.000 0.500 0.644
Ga 0.500 0.000 0.356
Ga 0.500 0.500 0.000
Cu 0.000 0.500 0.868
Cu 0.500 0.000 0.132
Cu 0.500 0.500 0.500

(3)
# DyAlGaCu2

A relaxed DyAlGaCu2 crystal (PBE, the Alexandria database).

a b c (Å): 3.830 4.049 11.132
angles (deg): 90.00 90.00 90.00
Fractional positions:
Dy 0.000 0.000 0.000
Dy 0.500 0.500 0.500
Al 0.000 0.500 0.759
Al 0.500 0.000 0.259
Ga 0.000 0.000 0.614
Ga 0.500 0.500 0.114
Cu 0.000 0.000 0.397
Cu 0.000 0.500 0.260
Cu 0.500 0.000 0.760
Cu 0.500 0.500 0.897

(4)
# DyAl2GaCu4

A relaxed DyAl2GaCu4 crystal (PBE, the Alexandria database).

a b c (Å): 8.738 8.738 8.738
angles (deg): 27.60 27.60 27.60
Fractional positions:
Dy 0.000 0.000 0.000
Al 0.247 0.247 0.247
Al 0.753 0.753 0.753
Ga 0.500 0.500 0.500
Cu 0.128 0.128 0.128
Cu 0.402 0.402 0.402
Cu 0.598 0.598 0.598
Cu 0.872 0.872 0.872

Number 1: magnetic moment 0.00 Bohr magnetons per cell, E -3.9473 eV per atom, volume 18.51 Å³ per atom. Number 2: magnetic moment 0.00 Bohr magnetons per cell, E -4.2014 eV per atom, volume 17.57 Å³ per atom. Number 3: magnetic moment 0.00 Bohr magnetons per cell, E -4.3080 eV per atom, volume 17.26 Å³ per atom. Number 4: magnetic moment 0.00 Bohr magnetons per cell, E -4.1901 eV per atom, volume 15.80 Å³ per atom.